*w*
Compound: La2Tb3Sm6
Source: Alexandria via LeMat-Bulk
Functional: PBE
Structure: optimized geometry

Summary:
Volume = 35.89 Å³/atom
SG = I4/mmm

Cell: 4.807 4.807 17.419 Å, 97.93 97.93 90.00°
Sites, in units of the cell vectors:
1 Sm 0.699 0.699 0.398
2 Sm 0.123 0.623 0.247
3 Sm 0.377 0.877 0.753
4 Sm 0.623 0.123 0.247
5 Sm 0.877 0.377 0.753
6 Sm 0.301 0.301 0.602
7 La 0.455 0.455 0.909
8 La 0.545 0.545 0.091
9 Tb 0.800 0.800 0.599
10 Tb 0.200 0.200 0.401
11 Tb 0.000 0.000 0.000



*x*
Compound: La2Tb3Sm6
Source: Alexandria via LeMat-Bulk
Functional: PBE
Structure: optimized geometry

Summary:
Volume = 35.77 Å³/atom
SG = C2/m

Cell: 6.214 6.221 11.939 Å, 84.93 79.81 60.04°
Sites, in units of the cell vectors:
1 Tb 0.335 0.330 0.000
2 Tb 0.000 0.000 0.000
3 Tb 0.665 0.670 0.000
4 Sm 0.585 0.333 0.246
5 Sm 0.749 0.000 0.754
6 Sm 0.415 0.667 0.754
7 Sm 0.251 0.000 0.246
8 Sm 0.082 0.333 0.754
9 Sm 0.918 0.667 0.246
10 La 0.833 0.334 0.500
11 La 0.167 0.666 0.500



Relative energy of each structure, in kJ/mol of atoms: *w* 9.2; *x* 0.0.